Arrangement one

Compound: V2Ge2Pt
Source: the Alexandria database
Functional: PBE
Structure: relaxed

Calculated values
* density of states at the Fermi level: 8.25 states/eV per cell

Structure (POSCAR):
```
V2Ge2Pt
1.0
-1.059 -5.394 4.493
2.876 -4.478 -4.698
2.696 0.471 1.201
Ge Pt V
4 2 4
direct
0.184 0.684 0.500 Ge
0.684 0.816 0.500 Ge
0.816 0.316 0.500 Ge
0.316 0.184 0.500 Ge
0.000 0.000 0.000 Pt
0.500 0.500 0.000 Pt
0.386 0.886 0.000 V
0.886 0.614 0.000 V
0.614 0.114 0.000 V
0.114 0.386 0.000 V
```

Arrangement two

Compound: V2Ge2Pt
Source: the Alexandria database
Functional: PBE
Structure: relaxed

Calculated values
* density of states at the Fermi level: 8.15 states/eV per cell

Structure (POSCAR):
```
V2Ge2Pt
1.0
-1.989 -0.302 6.161
-1.701 -6.195 -0.853
3.220 -1.020 0.989
Ge Pt V
4 2 4
direct
0.365 0.865 0.000 Ge
0.865 0.635 0.000 Ge
0.635 0.135 0.000 Ge
0.135 0.365 0.000 Ge
0.000 0.000 0.000 Pt
0.500 0.500 0.000 Pt
0.166 0.666 0.500 V
0.666 0.834 0.500 V
0.834 0.334 0.500 V
0.334 0.166 0.500 V
```

Stability ranking, top entry: arrangement two; the second entry is 149 meV/atom less favorable.

Arrangement one

Compound: Ge2PtW
Source: the Alexandria database
Functional: PBE
Structure: relaxed

Calculated values
* density of states at the Fermi level: 1.88 states/eV per cell

Structure (POSCAR):
```
Ge2PtW
1.0
-1.343 -2.430 0.993
0.965 -2.661 -0.827
5.411 -1.879 7.099
Ge W Pt
2 1 1
direct
0.090 0.090 0.729 Ge
0.910 0.910 0.271 Ge
0.500 0.500 0.500 W
0.000 0.000 0.000 Pt
```

Arrangement two

Compound: Ge2PtW
Source: the Alexandria database
Functional: PBE
Structure: relaxed

Calculated values
* density of states at the Fermi level: 7.25 states/eV per cell

Structure (POSCAR):
```
Ge2PtW
1.0
-6.528 -2.197 0.050
1.943 -5.845 -3.082
-1.856 -5.259 1.107
Ge W Pt
4 2 2
direct
0.639 0.125 0.250 Ge
0.111 0.625 0.250 Ge
0.375 0.361 0.750 Ge
0.875 0.889 0.750 Ge
0.500 0.500 0.000 W
0.250 0.750 0.500 W
0.000 0.000 0.000 Pt
0.750 0.250 0.500 Pt
```

Stability ranking, top entry: arrangement one; the second entry is 409 meV/atom less favorable.

Arrangement one

Compound: YGePt6
Source: the Alexandria database
Functional: PBE
Structure: relaxed

Calculated values
* density of states at the Fermi level: 6.67 states/eV per cell

Structure (POSCAR):
```
YGePt6
1.0
4.064 0.000 0.000
0.000 4.064 0.000
0.000 0.000 8.054
Y Ge Pt
1 1 6
direct
0.000 0.000 0.000 Y
0.000 0.000 0.500 Ge
0.500 0.500 0.000 Pt
0.500 0.500 0.500 Pt
0.500 0.000 0.263 Pt
0.500 0.000 0.737 Pt
0.000 0.500 0.263 Pt
0.000 0.500 0.737 Pt
```

Arrangement two

Compound: YGePt6
Source: the Alexandria database
Functional: PBE
Structure: relaxed

Calculated values
* density of states at the Fermi level: 2.74 states/eV per cell

Structure (POSCAR):
```
YGePt6
1.0
5.396 0.000 0.000
2.698 4.673 0.000
2.698 1.558 6.631
Y Ge Pt
1 1 6
direct
0.500 0.500 0.500 Y
0.000 0.000 0.000 Ge
0.925 0.925 0.714 Pt
0.435 0.925 0.714 Pt
0.075 0.565 0.286 Pt
0.565 0.075 0.286 Pt
0.075 0.075 0.286 Pt
0.925 0.435 0.714 Pt
```

Stability ranking, top entry: arrangement one; the second entry is 197 meV/atom less favorable.

Arrangement one

Compound: Y2Ge3Pt
Source: the Alexandria database
Functional: PBE
Structure: relaxed

Calculated values
* density of states at the Fermi level: 2.25 states/eV per cell

Structure (POSCAR):
```
Y2Ge3Pt
1.0
4.000 0.000 0.000
0.000 4.433 0.000
0.000 0.000 7.141
Y Ge Pt
2 3 1
direct
0.000 0.500 0.004 Y
0.000 0.000 0.499 Y
0.500 0.000 0.829 Ge
0.500 0.000 0.174 Ge
0.500 0.500 0.668 Ge
0.500 0.500 0.327 Pt
```

Arrangement two

Compound: Y2Ge3Pt
Source: the Alexandria database
Functional: PBE
Structure: relaxed

Calculated values
* density of states at the Fermi level: 3.02 states/eV per cell

Structure (POSCAR):
```
Y2Ge3Pt
1.0
-1.278 -3.999 -1.017
4.441 -3.607 -0.571
-0.142 -3.466 4.631
Y Ge Pt
2 3 1
direct
0.557 0.182 0.704 Y
0.433 0.813 0.321 Y
0.865 0.602 0.669 Ge
0.823 0.238 0.116 Ge
0.155 0.777 0.912 Ge
0.167 0.388 0.277 Pt
```

Stability ranking, top entry: arrangement one; the second entry is 13 meV/atom less favorable.